*a*
Compound: Li2YHg2
Source: Alexandria
Functional: meta-GGA SCAN
Structure: single point on PBEsol structure

Properties
- SG = P4/mbm

Geometry as POSCAR:
```
Li2YHg2
1.0
-0.002 -2.668 1.783
-4.275 -3.617 -5.417
6.513 -2.379 -3.552
Li Hg Y
4 4 2
Cartesian
0.216 -4.665 -6.979 Li
4.120 -3.502 -5.234 Li
-1.881 -2.494 -3.734 Li
2.023 -1.331 -1.989 Li
3.669 -3.631 -2.540 Hg
2.383 -5.750 -5.713 Hg
-1.433 -5.033 -4.645 Hg
-0.147 -2.914 -1.472 Hg
0.000 0.000 0.000 Y
1.119 -2.998 -4.484 Y
```

---

*b*
Compound: Li2YHg2
Source: Alexandria
Functional: meta-GGA SCAN
Structure: single point on PBEsol structure

Properties
- SG = I4/mmm

Geometry as POSCAR:
```
Li2YHg2
1.0
3.915 0.000 0.000
0.000 3.915 0.000
-1.958 -1.958 6.822
Li Y Hg
2 1 2
Cartesian
0.000 1.958 3.411 Li
1.958 0.000 3.411 Li
0.000 0.000 0.000 Y
0.000 0.000 5.325 Hg
1.958 1.958 1.497 Hg
```

---

Of them, *b* has the highest stability.

---

*a*
Compound: Mg5Hg4
Source: Alexandria
Functional: meta-GGA SCAN
Structure: single point on PBEsol structure

Properties
- SG = I4/mmm

Geometry as POSCAR:
```
Mg5Hg4
1.0
-3.925 1.126 -1.884
-1.585 -4.567 -4.795
-5.077 -2.958 3.441
Hg Mg
4 5
Cartesian
-5.788 -4.761 -1.523 Hg
-2.701 -4.053 -2.164 Hg
-4.799 -1.637 -1.715 Hg
-3.962 -3.472 0.810 Hg
-3.028 -0.641 0.557 Mg
-5.974 -1.190 1.000 Mg
0.000 0.000 0.000 Mg
-3.677 -2.249 -4.419 Mg
-1.833 -1.192 -2.260 Mg
```

---

*b*
Compound: Mg5Hg4
Source: Alexandria
Functional: meta-GGA SCAN
Structure: single point on PBEsol structure

Properties
- SG = P6_3/mcm

Geometry as POSCAR:
```
Mg5Hg4
1.0
6.048 0.000 0.000
0.000 8.460 0.000
0.000 -4.230 7.326
Hg Mg
8 10
Cartesian
4.536 2.649 4.588 Hg
1.512 1.581 2.738 Hg
4.536 -1.581 2.738 Hg
1.512 -2.649 4.588 Hg
3.024 0.000 0.000 Hg
0.000 0.000 0.000 Hg
1.512 5.298 0.000 Hg
4.536 3.162 0.000 Hg
4.536 5.968 0.000 Mg
0.000 0.000 4.884 Mg
3.024 0.000 4.884 Mg
4.536 1.246 2.158 Mg
3.024 4.230 2.442 Mg
1.512 2.492 0.000 Mg
0.000 4.230 2.442 Mg
4.536 -2.984 5.169 Mg
1.512 2.984 5.169 Mg
1.512 -1.246 2.158 Mg
```

---

Of them, *b* has the highest stability.

---

*a*
Compound: Mg3Hg2
Source: Alexandria
Functional: meta-GGA SCAN
Structure: single point on PBEsol structure

Properties
- SG = P-3m1

Geometry as POSCAR:
```
Mg3Hg2
1.0
4.737 0.000 0.000
-2.368 4.102 0.000
0.000 0.000 5.722
Hg Mg
2 3
Cartesian
0.000 2.735 4.745 Hg
2.368 1.367 0.978 Hg
0.000 0.000 0.000 Mg
0.000 2.735 1.954 Mg
2.368 1.367 3.769 Mg
```

---

*b*
Compound: Mg3Hg2
Source: Alexandria
Functional: meta-GGA SCAN
Structure: single point on PBEsol structure

Properties
- SG = R-3m

Geometry as POSCAR:
```
Mg3Hg2
1.0
-0.481 -2.674 -1.883
2.590 -1.735 -1.099
0.306 -8.045 8.445
Hg Mg
2 3
Cartesian
1.087 -8.233 5.610 Hg
1.329 -4.221 -0.147 Hg
0.548 -4.032 2.685 Mg
1.867 -8.422 2.779 Mg
0.000 0.000 0.000 Mg
```

---

Of them, *a* has the highest stability.

---

*a*
Compound: Mg5Hg
Source: Alexandria
Functional: meta-GGA SCAN
Structure: single point on PBEsol structure

Properties
- SG = P4/mmm

Geometry as POSCAR:
```
Mg5Hg
1.0
3.223 0.000 0.000
0.000 3.223 0.000
0.000 0.000 12.737
Mg Hg
5 1
Cartesian
0.000 0.000 8.278 Mg
1.611 1.611 2.218 Mg
1.611 1.611 10.519 Mg
0.000 0.000 0.000 Mg
0.000 0.000 4.458 Mg
1.611 1.611 6.368 Hg
```

---

*b*
Compound: Mg5Hg
Source: Alexandria
Functional: meta-GGA SCAN
Structure: single point on PBEsol structure

Properties
- SG = R32

Geometry as POSCAR:
```
Mg5Hg
1.0
-5.315 0.942 -0.182
-3.318 -3.657 -2.188
-3.426 -3.122 3.747
Mg Hg
5 1
Cartesian
-5.755 -1.810 -1.579 Mg
-7.153 -4.157 -0.052 Mg
-6.303 -4.027 2.957 Mg
-4.229 -3.238 0.750 Mg
-6.706 -1.361 1.368 Mg
0.000 0.000 0.000 Hg
```

---

*c*
Compound: Mg5Hg
Source: Alexandria
Functional: meta-GGA SCAN
Structure: single point on PBEsol structure

Properties
- SG = Cm

Geometry as POSCAR:
```
Mg5Hg
1.0
3.217 0.000 0.000
-1.608 5.719 0.005
0.000 -1.967 7.054
Mg Hg
5 1
Cartesian
0.000 2.545 4.820 Mg
1.608 0.564 6.651 Mg
0.000 3.958 1.879 Mg
1.608 1.288 2.357 Mg
0.000 -0.566 4.279 Mg
1.608 5.700 0.015 Hg
```

---

*d*
Compound: Mg5Hg
Source: Alexandria
Functional: meta-GGA SCAN
Structure: single point on PBEsol structure

Properties
- SG = P-62m

Geometry as POSCAR:
```
Mg5Hg
1.0
-0.311 -3.164 -3.923
-0.447 -4.170 3.399
-4.427 2.567 -1.719
Mg Hg
5 1
Cartesian
-1.589 -0.523 0.548 Mg
-0.301 -2.811 2.291 Mg
-1.929 -3.506 -0.269 Mg
-2.984 1.730 -1.159 Mg
-3.256 -1.260 -1.974 Mg
-0.156 -1.582 -1.961 Hg
```

---

Of them, *d* has the highest stability.